1.
DFT (PBE) results for Er5Ga2Pd12 after structural relaxation.

The structure in POSCAR format:
```
Er5Ga2Pd12
1.0
-0.3407 4.3972 3.5114
4.4083 -7.0497 4.7304
3.5724 5.7762 -6.8867
Pd Er Ga
12 5 2
Direct
0.0817 0.6806 0.9239
0.4955 0.9910 0.7482
0.9183 0.3194 0.0761
0.5045 0.0090 0.2518
0.4098 0.3088 0.5841
0.9048 0.8096 0.7149
0.4010 0.3194 0.0761
0.0952 0.1904 0.2851
0.5902 0.6912 0.4159
0.5990 0.6806 0.9239
0.1010 0.6912 0.4159
0.8990 0.3088 0.5841
0.3103 0.6206 0.6391
0.3211 0.6423 0.1406
0.0000 0.0000 0.5000
0.6897 0.3794 0.3609
0.6789 0.3577 0.8594
0.7460 0.0000 0.0000
0.2540 0.0000 0.0000
```

Properties
**SG**: C2/m, No. 12
**ΔH_f (0 K)**: -13.9 kcal/mol of atoms

***

2.
DFT (PBE) results for Er4GaPd2 after structural relaxation.

The structure in POSCAR format:
```
Er4GaPd2
1.0
-6.8758 -1.0437 3.5342
4.8305 -5.9402 1.4954
3.2192 6.5832 2.6701
Ga Pd Er
2 4 8
Direct
0.2503 0.7500 0.5000
0.0001 0.9998 0.0000
0.6260 0.8758 0.2508
0.6251 0.3752 0.7502
0.1240 0.3739 0.7492
0.6248 0.3750 0.2499
0.9301 0.2410 0.3101
0.3808 0.0701 0.3105
0.4899 0.6795 0.8107
0.9300 0.6193 0.6895
0.3200 0.1305 0.8104
0.3204 0.5100 0.1892
0.8696 0.6801 0.1897
0.7590 0.0698 0.6899
```

Properties
**SG**: C2, No. 5
**ΔH_f (0 K)**: -11.9 kcal/mol of atoms
**Excess energy over the best structure of this formula in the dataset**: 135 meV per atom